# 1
# MnSiSn3, relaxed, DFT GGA-PBE
# **Final energy**: -0.149 hartree per atom
# **Excess energy over the best structure of this formula in the dataset**: 760 meV per atom
data_MnSiSn3
_chemical_formula_sum 'Mn1 Si1 Sn3'
_cell_length_a 5.1230
_cell_length_b 5.1230
_cell_length_c 5.1230
_cell_angle_alpha 90.00
_cell_angle_beta 90.00
_cell_angle_gamma 90.00
_symmetry_space_group_name_H-M 'P m -3 m'
_symmetry_Int_Tables_number 221
_symmetry_space_group_name_Hall '-P 4 2 3'
loop_
_atom_site_label
_atom_site_fract_x
_atom_site_fract_y
_atom_site_fract_z
Mn1 0.0000 0.0000 0.0000
Si1 0.5000 0.5000 0.5000
Sn1 0.0000 0.5000 0.5000



# 2
# MnSiSn3, relaxed, DFT GGA-PBE
# **Final energy**: -0.177 hartree per atom
# **Excess energy over the best structure of this formula in the dataset**: 0 meV per atom
data_MnSiSn3
_chemical_formula_sum 'Mn1 Si1 Sn3'
_cell_length_a 4.9965
_cell_length_b 4.9965
_cell_length_c 4.9965
_cell_angle_alpha 90.00
_cell_angle_beta 90.00
_cell_angle_gamma 90.00
_symmetry_space_group_name_H-M 'P m -3 m'
_symmetry_Int_Tables_number 221
_symmetry_space_group_name_Hall '-P 4 2 3'
loop_
_atom_site_label
_atom_site_fract_x
_atom_site_fract_y
_atom_site_fract_z
Mn1 0.0000 0.0000 0.0000
Si1 0.5000 0.5000 0.5000
Sn1 0.0000 0.0000 0.5000



# 3
# SrMnSi2, relaxed, DFT GGA-PBE
# **Final energy**: -0.204 hartree per atom
data_SrMnSi2
_chemical_formula_sum 'Sr4 Mn4 Si8'
_cell_length_a 5.1489
_cell_length_b 5.1489
_cell_length_c 14.3533
_cell_angle_alpha 90.00
_cell_angle_beta 90.00
_cell_angle_gamma 90.00
_symmetry_space_group_name_H-M 'I 41/a m d'
_symmetry_Int_Tables_number 141
loop_
_symmetry_equiv_pos_as_xyz
'x,y,z'
'-x,-y,-z'
'-y+1/4,x+3/4,z+1/4'
'y+1/4,-x+3/4,-z+1/4'
'-x+1/2,-y,z+1/2'
'x+1/2,y,-z+1/2'
'y+1/4,-x+1/4,z+3/4'
'-y+1/4,x+1/4,-z+3/4'
'x,-y,-z'
'-x,y,z'
'-y+1/4,-x+1/4,-z+3/4'
'y+1/4,x+1/4,z+3/4'
'-x+1/2,y,-z+1/2'
'x+1/2,-y,z+1/2'
'y+1/4,x+3/4,-z+1/4'
'-y+1/4,-x+3/4,z+1/4'
'x+1/2,y+1/2,z+1/2'
'-x+1/2,-y+1/2,-z+1/2'
'-y+3/4,x+1/4,z+3/4'
'y+3/4,-x+1/4,-z+3/4'
'-x,-y+1/2,z'
'x,y+1/2,-z'
'y+3/4,-x+3/4,z+1/4'
'-y+3/4,x+3/4,-z+1/4'
'x+1/2,-y+1/2,-z+1/2'
'-x+1/2,y+1/2,z+1/2'
'-y+3/4,-x+3/4,-z+1/4'
'y+3/4,x+3/4,z+1/4'
'-x,y+1/2,-z'
'x,-y+1/2,z'
'y+3/4,x+1/4,-z+3/4'
'-y+3/4,-x+1/4,z+3/4'
loop_
_atom_site_label
_atom_site_fract_x
_atom_site_fract_y
_atom_site_fract_z
Sr1 0.0000 0.2500 0.3750
Mn1 0.0000 0.2500 0.8750
Si1 0.0000 0.0000 0.0000